Record 1
## La2CdSn4 (PBE-GGA)

Data for a relaxed La2CdSn4 crystal.

Lattice parameters (Å, degrees): 5.4504 5.4504 15.9387 90.00 90.00 90.00
Last column: nearest neighbours and their distance in Å.
Positions (direct):
La  0.0000  0.0000  0.1264  5 Sn 3.20-3.39
La  0.0000  0.0000  0.8736  5 Sn 3.20-3.39
La  0.5000  0.5000  0.3736  5 Sn 3.20-3.39
La  0.5000  0.5000  0.6264  5 Sn 3.20-3.39
Cd  0.0000  0.0000  0.5000  6 Sn 2.73-2.76
Cd  0.5000  0.5000  0.0000  6 Sn 2.73-2.76
Sn  0.0000  0.0000  0.3269  1 Cd 2.76
Sn  0.0000  0.0000  0.6731  1 Cd 2.76
Sn  0.0000  0.5000  0.0000  2 Cd 2.73
Sn  0.0000  0.5000  0.5000  2 Cd 2.73
Sn  0.5000  0.0000  0.0000  2 Cd 2.73
Sn  0.5000  0.0000  0.5000  2 Cd 2.73
Sn  0.5000  0.5000  0.1731  1 Cd 2.76
Sn  0.5000  0.5000  0.8269  1 Cd 2.76

The density of states at the Fermi level is 6.1 states/eV per cell. The magnetization comes out at 0.0 μB/cell. Its offset from the most stable computed form is 318 meV/atom.

***

Record 2
## DyHgPd2 (PBE-GGA)

Data for a relaxed DyHgPd2 crystal.

Lattice parameters (Å, degrees): 4.4778 4.4778 3.8904 90.00 90.00 90.00
Last column: nearest neighbours and their distance in Å.
Positions (direct):
Dy  0.0000  0.0000  0.0000  8 Pd 2.97, 4 Hg 3.17
Hg  0.5000  0.5000  0.0000  8 Pd 2.97, 4 Dy 3.17
Pd  0.0000  0.5000  0.5000  4 Hg 2.97, 4 Dy 2.97, 4 Pd 3.17
Pd  0.5000  0.0000  0.5000  4 Hg 2.97, 4 Dy 2.97, 4 Pd 3.17

The density of states at the Fermi level is 2.3 states/eV per cell. The total energy is -4.442 eV per atom. The magnetization comes out at 0.0 μB/cell.

***

Record 3
## Pm2SmEr4Tm (PBE-GGA)

Data for a relaxed Pm2SmEr4Tm crystal.

Lattice parameters (Å, degrees): 9.4801 9.4801 9.4801 138.10 103.28 91.49
Last column: nearest neighbours and their distance in Å.
Positions (direct):
Pm  0.0000  0.0000  0.0000  6 Er 3.31-3.40, 2 Sm 3.39
Pm  0.5000  0.0000  0.0000  6 Er 3.37-3.44, 2 Pm 3.39
Pm  0.5000  0.0000  0.5000  6 Er 3.31-3.40, 2 Sm 3.39
Pm  0.5000  0.5000  0.5000  6 Er 3.37-3.44, 2 Pm 3.39
Sm  0.0000  0.5000  0.5000  6 Er 3.31-3.40, 2 Pm 3.39
Sm  0.5000  0.5000  0.0000  6 Er 3.31-3.40, 2 Pm 3.39
Er  0.2452  0.2453  0.5000  1 Tm 3.24, 3 Pm 3.37-3.40, 2 Er 3.39, 2 Sm 3.40
Er  0.2454  0.2500  0.9954  1 Sm 3.31, 3 Pm 3.31-3.44, 2 Tm 3.35, 2 Er 3.39
Er  0.2452  0.7452  0.0000  1 Tm 3.24, 3 Pm 3.37-3.40, 2 Er 3.39, 2 Sm 3.40
Er  0.2454  0.7500  0.4954  1 Sm 3.31, 3 Pm 3.31-3.44, 2 Tm 3.35, 2 Er 3.39
Er  0.7546  0.2500  0.5046  1 Sm 3.31, 3 Pm 3.31-3.44, 2 Tm 3.35, 2 Er 3.39
Er  0.7548  0.2548  0.0000  1 Tm 3.24, 3 Pm 3.37-3.40, 2 Er 3.39, 2 Sm 3.40
Er  0.7546  0.7500  0.0046  1 Sm 3.31, 3 Pm 3.31-3.44, 2 Tm 3.35, 2 Er 3.39
Er  0.7548  0.7547  0.5000  1 Tm 3.24, 3 Pm 3.37-3.40, 2 Er 3.39, 2 Sm 3.40
Tm  0.0000  0.0000  0.5000  6 Er 3.24-3.35, 2 Tm 3.39
Tm  0.0000  0.5000  0.0000  6 Er 3.24-3.35, 2 Tm 3.39

The density of states at the Fermi level is 36.7 states/eV per cell. The total energy is -4.188 eV per atom. The magnetization comes out at 4.7 μB/cell.